# 1
This record from the Alexandria database describes a relaxed structure of TbCu4Pt8. The functional is PBE.

```
data_TbCu4Pt8
_chemical_formula_sum 'Tb2 Cu8 Pt16'
_cell_length_a 8.937
_cell_length_b 8.937
_cell_length_c 5.062
_cell_angle_alpha 90.00
_cell_angle_beta 90.00
_cell_angle_gamma 90.00
_space_group_name_H-M_alt 'I 4/m m m'
_space_group_IT_number 139
_space_group_name_Hall '-I 4 2'
loop_
_atom_site_label
_atom_site_type_symbol
_atom_site_fract_x
_atom_site_fract_y
_atom_site_fract_z
Tb1 Tb 0.000 0.000 0.000
Cu1 Cu 0.250 0.250 0.250
Pt1 Pt 0.000 0.219 0.500
Pt2 Pt 0.000 0.345 0.000
```

As for the formation energy: -0.351 eV per atom. The crystal system is tetragonal. For the calculated total energy, the calculation gives -0.4178 Ry per atom.

# 2
This record from the Alexandria database describes a relaxed structure of Tb2CuPt. The functional is PBE.

```
data_Tb2CuPt
_chemical_formula_sum 'Tb4 Cu2 Pt2'
_cell_length_a 4.461
_cell_length_b 5.552
_cell_length_c 7.194
_cell_angle_alpha 90.00
_cell_angle_beta 90.00
_cell_angle_gamma 90.00
_space_group_name_H-M_alt 'P m c 21'
_space_group_IT_number 26
loop_
_space_group_symop_operation_xyz
'x,y,z'
'-x,-y,z+1/2'
'-x,y,z'
'x,-y,z+1/2'
loop_
_atom_site_label
_atom_site_type_symbol
_atom_site_fract_x
_atom_site_fract_y
_atom_site_fract_z
Tb1 Tb 0.000 0.106 0.000
Tb2 Tb 0.500 0.383 0.368
Cu1 Cu 0.000 0.392 0.648
Pt1 Pt 0.500 0.116 0.721
```

As for the formation energy: -0.802 eV per atom. The crystal system is orthorhombic. For the calculated total energy, the calculation gives -0.4154 Ry per atom.

# 3
This record from the Alexandria database describes a relaxed structure of TbCuPt6. The functional is PBE.

```
data_TbCuPt6
_chemical_formula_sum 'Tb1 Cu1 Pt6'
_cell_length_a 4.039
_cell_length_b 4.039
_cell_length_c 7.994
_cell_angle_alpha 90.00
_cell_angle_beta 90.00
_cell_angle_gamma 90.00
_space_group_name_H-M_alt 'P 4/m m m'
_space_group_IT_number 123
_space_group_name_Hall '-P 4 2'
loop_
_atom_site_label
_atom_site_type_symbol
_atom_site_fract_x
_atom_site_fract_y
_atom_site_fract_z
Tb1 Tb 0.000 0.000 0.000
Cu1 Cu 0.000 0.000 0.500
Pt1 Pt 0.000 0.500 0.267
Pt2 Pt 0.500 0.500 0.000
Pt3 Pt 0.500 0.500 0.500
```

As for the formation energy: -0.532 eV per atom. The crystal system is tetragonal. For the calculated total energy, the calculation gives -0.4522 Ry per atom.

# 4
This record from the Alexandria database describes a relaxed structure of Tb2CuPt. The functional is PBE.

```
data_Tb2CuPt
_chemical_formula_sum 'Tb4 Cu2 Pt2'
_cell_length_a 5.563
_cell_length_b 4.511
_cell_length_c 7.547
_cell_angle_alpha 90.00
_cell_angle_beta 109.88
_cell_angle_gamma 90.00
_space_group_name_H-M_alt 'P 1 21/m 1'
_space_group_IT_number 11
loop_
_space_group_symop_operation_xyz
'x,y,z'
'-x,-y,-z'
'-x,y+1/2,-z'
'x,-y+1/2,z'
loop_
_atom_site_label
_atom_site_type_symbol
_atom_site_fract_x
_atom_site_fract_y
_atom_site_fract_z
Tb1 Tb 0.221 0.250 0.434
Tb2 Tb 0.225 0.250 0.928
Cu1 Cu 0.342 0.750 0.209
Pt1 Pt 0.344 0.750 0.712
```

As for the formation energy: -0.806 eV per atom. The crystal system is monoclinic. For the calculated total energy, the calculation gives -0.4157 Ry per atom.

# 5
This record from the Alexandria database describes a relaxed structure of TbCuPt. The functional is PBE.

```
data_TbCuPt
_chemical_formula_sum 'Tb4 Cu4 Pt4'
_cell_length_a 3.911
_cell_length_b 13.005
_cell_length_c 4.464
_cell_angle_alpha 90.00
_cell_angle_beta 90.00
_cell_angle_gamma 90.00
_space_group_name_H-M_alt 'C m c m'
_space_group_IT_number 63
_space_group_name_Hall '-C 2c 2'
loop_
_atom_site_label
_atom_site_type_symbol
_atom_site_fract_x
_atom_site_fract_y
_atom_site_fract_z
Tb1 Tb 0.000 0.099 0.250
Cu1 Cu 0.000 0.403 0.250
Pt1 Pt 0.000 0.241 0.750
```

As for the formation energy: -0.581 eV per atom. The crystal system is orthorhombic. For the calculated total energy, the calculation gives -0.4045 Ry per atom.

# 6
This record from the Alexandria database describes a relaxed structure of Tb2Cu15Pt2. The functional is PBE.

```
data_Tb2Cu15Pt2
_chemical_formula_sum 'Tb6 Cu45 Pt6'
_cell_length_a 8.6503
_cell_length_b 8.6503
_cell_length_c 12.5271
_cell_angle_alpha 90.00
_cell_angle_beta 90.00
_cell_angle_gamma 120.00
_space_group_name_H-M_alt 'R -3 m'
_space_group_IT_number 166
_space_group_name_Hall '-R 3 2"'
loop_
_atom_site_label
_atom_site_type_symbol
_atom_site_fract_x
_atom_site_fract_y
_atom_site_fract_z
Tb1 Tb 0.0000 0.0000 0.1624
Cu1 Cu 0.0000 0.2957 0.5000
Cu2 Cu 0.0000 0.5000 0.0000
Cu3 Cu 0.0040 0.5020 0.6516
Pt1 Pt 0.0000 0.0000 0.3919
```

As for the formation energy: -0.206 eV per atom. The crystal system is trigonal. For the calculated total energy, the calculation gives -0.3354 Ry per atom.

# 7
This record from the Alexandria database describes a relaxed structure of TbThCuPt. The functional is PBE.

```
data_TbThCuPt
_chemical_formula_sum 'Tb4 Th4 Cu4 Pt4'
_cell_length_a 7.123
_cell_length_b 7.123
_cell_length_c 7.123
_cell_angle_alpha 90.00
_cell_angle_beta 90.00
_cell_angle_gamma 90.00
_space_group_name_H-M_alt 'F -4 3 m'
_space_group_IT_number 216
_space_group_name_Hall 'F -4 2 3'
loop_
_atom_site_label
_atom_site_type_symbol
_atom_site_fract_x
_atom_site_fract_y
_atom_site_fract_z
Tb1 Tb 0.000 0.000 0.000
Th1 Th 0.000 0.000 0.500
Cu1 Cu 0.250 0.250 0.750
Pt1 Pt 0.250 0.250 0.250
```

As for the formation energy: -0.632 eV per atom. The crystal system is cubic. For the calculated total energy, the calculation gives -0.4542 Ry per atom.

# 8
This record from the Alexandria database describes a relaxed structure of TbThCuPt. The functional is PBE.

```
data_TbThCuPt
_chemical_formula_sum 'Tb2 Th2 Cu2 Pt2'
_cell_length_a 4.553
_cell_length_b 3.838
_cell_length_c 10.620
_cell_angle_alpha 90.00
_cell_angle_beta 90.00
_cell_angle_gamma 90.00
_space_group_name_H-M_alt 'A m m 2'
_space_group_IT_number 38
loop_
_space_group_symop_operation_xyz
'x,y,z'
'-x,-y,z'
'-x,y,z'
'x,-y,z'
'x,y+1/2,z+1/2'
'-x,-y+1/2,z+1/2'
'-x,y+1/2,z+1/2'
'x,-y+1/2,z+1/2'
loop_
_atom_site_label
_atom_site_type_symbol
_atom_site_fract_x
_atom_site_fract_y
_atom_site_fract_z
Tb1 Tb 0.000 0.000 0.000
Th1 Th 0.500 0.000 0.279
Cu1 Cu 0.000 0.000 0.720
Pt1 Pt 0.500 0.000 0.562
```

As for the formation energy: -0.719 eV per atom. The crystal system is orthorhombic. For the calculated total energy, the calculation gives -0.4605 Ry per atom.

# 9
This record from the Alexandria database describes a relaxed structure of Tb2Zn3Cu12Pt. The functional is PBE.

```
data_Tb2Zn3Cu12Pt
_chemical_formula_sum 'Tb6 Zn9 Cu36 Pt3'
_cell_length_a 8.8211
_cell_length_b 8.8211
_cell_length_c 12.2331
_cell_angle_alpha 90.00
_cell_angle_beta 90.00
_cell_angle_gamma 120.00
_space_group_name_H-M_alt 'R -3 m'
_space_group_IT_number 166
_space_group_name_Hall '-R 3 2"'
loop_
_atom_site_label
_atom_site_type_symbol
_atom_site_fract_x
_atom_site_fract_y
_atom_site_fract_z
Tb1 Tb 0.0000 0.0000 0.2155
Zn1 Zn 0.0000 0.5000 0.0000
Cu1 Cu 0.0095 0.5047 0.2060
Cu2 Cu 0.0426 0.5213 0.5999
Pt1 Pt 0.0000 0.0000 0.5000
```

As for the formation energy: 0.031 eV per atom. The crystal system is trigonal. For the calculated total energy, the calculation gives -0.2765 Ry per atom.

# 10
This record from the Alexandria database describes a relaxed structure of TbZn2CuPt4. The functional is PBE.

```
data_TbZn2CuPt4
_chemical_formula_sum 'Tb3 Zn6 Cu3 Pt12'
_cell_length_a 4.3711
_cell_length_b 4.3711
_cell_length_c 24.0906
_cell_angle_alpha 90.00
_cell_angle_beta 90.00
_cell_angle_gamma 120.00
_space_group_name_H-M_alt 'R -3 m'
_space_group_IT_number 166
_space_group_name_Hall '-R 3 2"'
loop_
_atom_site_label
_atom_site_type_symbol
_atom_site_fract_x
_atom_site_fract_y
_atom_site_fract_z
Tb1 Tb 0.0000 0.0000 0.0000
Zn1 Zn 0.0000 0.0000 0.2416
Cu1 Cu 0.0000 0.0000 0.5000
Pt1 Pt 0.0000 0.0000 0.1275
Pt2 Pt 0.0000 0.0000 0.3959
```

As for the formation energy: -0.607 eV per atom. The crystal system is trigonal. For the calculated total energy, the calculation gives -0.3702 Ry per atom.

# 11
This record from the Alexandria database describes a relaxed structure of Tb2ZnCu2Pt5. The functional is PBE.

```
data_Tb2ZnCu2Pt5
_chemical_formula_sum 'Tb4 Zn2 Cu4 Pt10'
_cell_length_a 9.354
_cell_length_b 9.354
_cell_length_c 3.890
_cell_angle_alpha 90.00
_cell_angle_beta 90.00
_cell_angle_gamma 90.00
_space_group_name_H-M_alt 'P 4/m b m'
_space_group_IT_number 127
_space_group_name_Hall '-P 4 2ab'
loop_
_atom_site_label
_atom_site_type_symbol
_atom_site_fract_x
_atom_site_fract_y
_atom_site_fract_z
Tb1 Tb 0.175 0.325 0.000
Zn1 Zn 0.000 0.000 0.000
Cu1 Cu 0.123 0.623 0.000
Pt1 Pt 0.000 0.500 0.500
Pt2 Pt 0.069 0.797 0.500
```

As for the formation energy: -0.790 eV per atom. The crystal system is tetragonal. For the calculated total energy, the calculation gives -0.4177 Ry per atom.

# 12
This record from the Alexandria database describes a relaxed structure of CuTc2Pt2. The functional is PBE.

```
data_CuTc2Pt2
_chemical_formula_sum 'Cu2 Tc4 Pt4'
_cell_length_a 7.732
_cell_length_b 7.732
_cell_length_c 2.683
_cell_angle_alpha 90.00
_cell_angle_beta 90.00
_cell_angle_gamma 90.00
_space_group_name_H-M_alt 'P 4/m b m'
_space_group_IT_number 127
_space_group_name_Hall '-P 4 2ab'
loop_
_atom_site_label
_atom_site_type_symbol
_atom_site_fract_x
_atom_site_fract_y
_atom_site_fract_z
Cu1 Cu 0.000 0.000 0.000
Tc1 Tc 0.175 0.325 0.500
Pt1 Pt 0.123 0.623 0.000
```

As for the formation energy: 0.298 eV per atom. The crystal system is tetragonal. For the calculated total energy, the calculation gives -0.5207 Ry per atom.

Repeat the sixth record exactly.
This record from the Alexandria database describes a relaxed structure of Tb2Cu15Pt2. The functional is PBE.

```
data_Tb2Cu15Pt2
_chemical_formula_sum 'Tb6 Cu45 Pt6'
_cell_length_a 8.6503
_cell_length_b 8.6503
_cell_length_c 12.5271
_cell_angle_alpha 90.00
_cell_angle_beta 90.00
_cell_angle_gamma 120.00
_space_group_name_H-M_alt 'R -3 m'
_space_group_IT_number 166
_space_group_name_Hall '-R 3 2"'
loop_
_atom_site_label
_atom_site_type_symbol
_atom_site_fract_x
_atom_site_fract_y
_atom_site_fract_z
Tb1 Tb 0.0000 0.0000 0.1624
Cu1 Cu 0.0000 0.2957 0.5000
Cu2 Cu 0.0000 0.5000 0.0000
Cu3 Cu 0.0040 0.5020 0.6516
Pt1 Pt 0.0000 0.0000 0.3919
```

As for the formation energy: -0.206 eV per atom. The crystal system is trigonal. For the calculated total energy, the calculation gives -0.3354 Ry per atom.